Computed, not measured: a geometry-optimized TbPmYZn structure at the PBE-GGA level of DFT.

```
TbPmYZn
1.0
-1.897 -0.286 3.043
-3.016 -0.402 -1.918
1.194 -8.638 -0.067
Zn Pm Tb Y
1 1 1 1
Direct
0.000 0.000 0.572
0.000 0.000 0.072
0.500 0.500 0.367
0.500 0.500 0.774
```

Summary:
DFT formation energy (meV/atom): -165.0
SG: P4mm
Total energy (eV for the cell shown): -17.78
D(E_F) (states/eV per cell): 4.76

---

Computed, not measured: a geometry-optimized Ce4AsPtSe2 structure at the PBE-GGA level of DFT.

```
Ce4AsPtSe2
1.0
4.153 0.000 0.000
0.000 7.329 -0.173
0.000 2.555 6.884
Se As Ce Pt
2 1 4 1
Direct
0.000 0.000 0.000
0.500 0.000 0.500
0.000 0.500 0.500
0.500 0.745 0.251
0.500 0.255 0.749
0.000 0.739 0.758
0.000 0.261 0.242
0.500 0.500 0.000
```

Summary:
Formation energy from raw total energies (eV/atom): -1.477
SG: P2/m
Total energy (eV for the cell shown): -53.21
D(E_F) (states/eV per cell): 24.27

---

Computed, not measured: a geometry-optimized TlAuS2Cl structure at the PBE-GGA level of DFT.

```
TlAuS2Cl
1.0
-4.840 -1.684 -0.699
1.803 -4.715 -1.127
-0.274 -1.315 5.065
Cl Tl S Au
1 1 2 1
Direct
0.000 0.000 0.500
0.000 0.000 0.000
0.000 0.500 0.000
0.500 0.000 0.000
0.500 0.500 0.500
```

Summary:
ΔE to the lowest computed polymorph (eV/atom): 0.5894
Formation energy from raw total energies (eV/atom): 0.731
SG: P4/mmm
Total energy (eV for the cell shown): -12.09
D(E_F) (states/eV per cell): 6.23